A plane-wave DFT calculation with PBE was carried out for a relaxed structure of Li2Ac2Ni.

Geometry as POSCAR:
```
Li2Ac2Ni
1.0
-2.3162 2.6484 5.2778
2.3162 -2.6484 5.2778
2.3162 2.6484 -5.2778
Li Ac Ni
2 2 1
direct
0.0000 0.2381 0.2381 Li
0.0000 0.7619 0.7619 Li
0.3228 0.3228 0.0000 Ac
0.6772 0.6772 0.0000 Ac
0.5000 0.0000 0.5000 Ni
```

## Properties
Formation energy: -0.001 eV per atom
Space group: Immm (71)